## Zr2Ta4Ge3N3 (PBE-GGA)

Data for a geometry-optimized Zr2Ta4Ge3N3 structure.

abc: 9.7381 5.6397 13.1997
angles: 90.00 104.26 90.00
With the nearest neighbours (Å) after each atom.
Space group C2/c (No. 15)
One atom of each set of equivalent atoms:
Zr  0.0491  0.0831  0.3960 x8  3 N 2.26-2.30
Ta  0.1119  0.4179  0.5850 x8  3 N 2.17-2.21
Ta  0.2210  0.4158  0.9152 x8  3 N 2.17-2.20
Ge  0.0000  0.4529  0.2500 x4  4 Ta 2.76, 2 Zr 2.80, 4 Ge 3.08-3.09
Ge  0.1848  0.1015  0.7495 x8  4 Ta 2.76-2.77, 2 Zr 2.79-2.80, 4 Ge 3.08-3.09
N  0.0803  0.2419  0.0000 x8  4 Ta 2.17-2.21, 2 Zr 2.26-2.27
N  0.2500  0.2500  0.5000 x4  4 Ta 2.17, 2 Zr 2.30

Results
Energy: -449.972 eV/cell



## Tb3Ge3W2N12 (PBE-GGA)

Data for a geometry-optimized Tb3Ge3W2N12 structure.

abc: 12.4936 12.4936 12.4936
angles: 90.00 90.00 90.00
With the nearest neighbours (Å) after each atom.
Space group Ia-3d (No. 230)
One atom of each set of equivalent atoms:
Tb  0.0000  0.2500  0.1250 x24  8 N 2.44-2.49
Ge  0.0000  0.2500  0.3750 x24  4 N 1.85
W  0.0000  0.0000  0.0000 x16  6 N 2.02
N  0.0328  0.0549  0.6484 x96  1 Ge 1.85, 1 W 2.02

Results
Energy: -1300.634 eV/cell



## GeW2N (PBE-GGA)

Data for a geometry-optimized GeW2N structure.

abc: 9.2205 5.5026 13.3177
angles: 90.00 107.43 90.00
With the nearest neighbours (Å) after each atom.
Space group C2/c (No. 15)
One atom of each set of equivalent atoms:
Ge  0.0000  0.1136  0.2500 x4  6 W 2.73-2.90, 2 Ge 2.82
Ge  0.1932  0.3663  0.7467 x8  6 W 2.56-2.70, 1 Ge 2.82
W  0.0592  0.5000  0.3846 x8  2 N 2.08-2.23
W  0.1123  0.0652  0.5824 x8  3 N 2.14-2.16
W  0.2306  0.0733  0.9141 x8  2 N 2.08-2.09
N  0.0484  0.2954  0.0268 x8  5 W 2.08-2.23
N  0.2500  0.2500  0.5000 x4  4 W 2.09-2.16

Results
Polymorph energy (0 for the lowest one): 0.0000 eV/atom
Energy: -458.580 eV/cell



## GeW2N (PBE-GGA)

Data for a geometry-optimized GeW2N structure.

abc: 2.9053 2.9053 14.2251
angles: 90.00 90.00 120.00
With the nearest neighbours (Å) after each atom.
Space group P6_3/mmc (No. 194)
One atom of each set of equivalent atoms:
Ge  0.3333  0.6667  0.2500 x2  6 W 2.71, 6 Ge 2.91
W  0.3333  0.6667  0.6001 x4  3 N 2.20
N  0.0000  0.0000  0.0000 x2  6 W 2.20

Results
Polymorph energy (0 for the lowest one): 0.1008 eV/atom
Energy: -75.623 eV/cell



## GeW4N3 (PBE-GGA)

Data for a geometry-optimized GeW4N3 structure.

abc: 2.8466 2.8466 26.2901
angles: 90.00 90.00 120.00
With the nearest neighbours (Å) after each atom.
Space group P6_3/mmc (No. 194)
One atom of each set of equivalent atoms:
Ge  0.3333  0.6667  0.2500 x2  6 W 2.71, 6 Ge 2.85
W  0.0000  0.0000  0.1678 x4  3 N 2.17
W  0.3333  0.6667  0.0563 x4  6 N 2.21-2.23
N  0.0000  0.0000  0.0000 x2  6 W 2.21
N  0.3333  0.6667  0.6136 x4  6 W 2.17-2.23

Results
Energy: -159.480 eV/cell



## Zr2Ge3W4N3 (PBE-GGA)

Data for a geometry-optimized Zr2Ge3W4N3 structure.

abc: 9.5818 5.6016 13.0296
angles: 90.00 104.61 90.00
With the nearest neighbours (Å) after each atom.
Space group C2/c (No. 15)
One atom of each set of equivalent atoms:
Zr  0.0513  0.0861  0.3921 x8  3 N 2.25-2.26
Ge  0.0000  0.4634  0.2500 x4  4 W 2.69-2.73, 2 Zr 2.77, 4 Ge 2.98-3.00
Ge  0.1917  0.1127  0.7490 x8  4 W 2.70-2.79, 2 Zr 2.79-2.81, 4 Ge 2.98-3.01
W  0.1128  0.4307  0.5828 x8  3 N 2.14-2.17
W  0.2148  0.4100  0.9175 x8  3 N 2.14-2.17
N  0.0777  0.2351  0.0003 x8  4 W 2.14-2.17, 2 Zr 2.25-2.26
N  0.2500  0.2500  0.5000 x4  4 W 2.15-2.17, 2 Zr 2.26

Results
Energy: -444.704 eV/cell



## Y4ZnGeN2 (PBE-GGA)

Data for a geometry-optimized Y4ZnGeN2 structure.

abc: 3.5144 3.5144 14.6015
angles: 90.00 90.00 120.00
With the nearest neighbours (Å) after each atom.
Space group P-6m2 (No. 187)
One atom of each set of equivalent atoms:
Y  0.0000  0.0000  0.1571 x2  3 N 2.41
Y  0.3333  0.6667  0.3430 x2  3 N 2.47
Zn  0.0000  0.0000  0.5000 x1  6 Y 3.06
Ge  0.3333  0.6667  0.0000 x1  6 Y 3.06
N  0.6667  0.3333  0.2466 x2  6 Y 2.41-2.47

Results
Energy: -56.457 eV/cell



## Y2Zr4Ge3N3 (PBE-GGA)

Data for a geometry-optimized Y2Zr4Ge3N3 structure.

abc: 10.0882 5.8214 14.2563
angles: 90.00 103.99 90.00
With the nearest neighbours (Å) after each atom.
Space group C2/c (No. 15)
One atom of each set of equivalent atoms:
Y  0.0449  0.0813  0.3951 x8  3 N 2.42-2.45
Zr  0.1127  0.4122  0.5864 x8  3 N 2.27-2.29
Zr  0.2225  0.4188  0.9137 x8  3 N 2.27-2.29
Ge  0.0000  0.4974  0.2500 x4  4 Zr 2.86-2.88, 4 Ge 3.04, 2 Y 3.15
Ge  0.2070  0.1217  0.7511 x8  4 Zr 2.85-2.87, 4 Ge 3.04, 2 Y 3.10-3.15
N  0.0840  0.2518  0.9999 x8  4 Zr 2.27-2.29, 2 Y 2.42
N  0.2500  0.2500  0.5000 x4  4 Zr 2.27, 2 Y 2.45

Results
Energy: -400.368 eV/cell



## Zr4ZnGeN2 (PBE-GGA)

Data for a geometry-optimized Zr4ZnGeN2 structure.

abc: 3.2893 3.2893 13.7850
angles: 90.00 90.00 120.00
With the nearest neighbours (Å) after each atom.
Space group P-6m2 (No. 187)
One atom of each set of equivalent atoms:
Zr  0.0000  0.0000  0.1562 x2  3 N 2.30
Zr  0.6667  0.3333  0.3382 x2  3 N 2.26
Zn  0.0000  0.0000  0.5000 x1  6 Zr 2.93
Ge  0.6667  0.3333  0.0000 x1  6 Zr 2.87
N  0.3333  0.6667  0.2498 x2  6 Zr 2.26-2.30

Results
Energy: -65.188 eV/cell



## Zr3GeN2 (PBE-GGA)

Data for a geometry-optimized Zr3GeN2 structure.

abc: 3.2430 3.2430 19.3008
angles: 90.00 90.00 120.00
With the nearest neighbours (Å) after each atom.
Space group P6_3/mmc (No. 194)
One atom of each set of equivalent atoms:
Zr  0.0000  0.0000  0.0000 x2  6 N 2.29
Zr  0.3333  0.6667  0.1372 x4  3 N 2.29
Ge  0.0000  0.0000  0.2500 x2  6 Zr 2.87
N  0.3333  0.6667  0.5685 x4  6 Zr 2.29

Results
Energy: -109.783 eV/cell



## ZrGe2N (PBE-GGA)

Data for a geometry-optimized ZrGe2N structure.

abc: 3.0446 3.0446 14.8251
angles: 90.00 90.00 120.00
With the nearest neighbours (Å) after each atom.
Space group P6_3/mmc (No. 194)
One atom of each set of equivalent atoms:
Zr  0.3333  0.6667  0.2500 x2  6 Ge 2.91, 6 Zr 3.04
Ge  0.3333  0.6667  0.5932 x4  3 N 2.24
N  0.0000  0.0000  0.0000 x2  6 Ge 2.24

Results
Energy: -50.196 eV/cell



## NaNbGe (PBE-GGA)

Data for a geometry-optimized NaNbGe structure.

abc: 6.3617 6.3617 6.3617
angles: 90.00 90.00 90.00
With the nearest neighbours (Å) after each atom.
Space group F-43m (No. 216)
One atom of each set of equivalent atoms:
Na  0.0000  0.0000  0.0000 x4  4 Ge 2.75
Nb  0.0000  0.0000  0.5000 x4  4 Ge 2.75
Ge  0.2500  0.2500  0.2500 x4  4 Nb 2.75, 4 Na 2.75

Results
Energy: -57.709 eV/cell